No. 1
Computed, not measured: a relaxed PmAgNO crystal at the PBE level of DFT.

Its space group is No. 26. The volume comes out at 16.1 Å³ per atom. Its energy above the most stable polymorph in this dataset is 50 meV per atom.

Cell lengths 4.005, 5.159, 6.254 Å; angles 90.00, 90.00, 90.00 degrees
Positions (direct):
N 0.000 0.941 0.332
N 0.000 0.441 0.668
Ag 0.500 0.948 0.232
Ag 0.500 0.448 0.768
Pm 0.000 0.450 0.292
Pm 0.000 0.950 0.708
O 0.500 0.914 0.860
O 0.500 0.414 0.140

***

No. 2
Computed, not measured: a relaxed PmAgNO crystal at the PBE level of DFT.

Its space group is No. 26. The volume comes out at 17.6 Å³ per atom. Its energy above the most stable polymorph in this dataset is 122 meV per atom.

Cell lengths 3.998, 5.911, 5.953 Å; angles 90.00, 90.00, 90.00 degrees
Positions (direct):
Pm 0.500 0.004 0.221
Pm 0.500 0.504 0.779
Ag 0.000 0.510 0.301
Ag 0.000 0.010 0.699
O 0.500 0.373 0.129
O 0.500 0.873 0.871
N 0.000 0.366 0.637
N 0.000 0.866 0.363

***

No. 3
Computed, not measured: a relaxed PmAgNO crystal at the PBE level of DFT.

Its space group is No. 129. The volume comes out at 14.6 Å³ per atom. Its energy above the most stable polymorph in this dataset is 3 meV per atom.

Cell lengths 5.036, 5.036, 4.613 Å; angles 90.00, 90.00, 90.00 degrees
Positions (direct):
N 0.250 0.250 0.502
N 0.750 0.750 0.498
Ag 0.250 0.250 0.002
Ag 0.750 0.750 0.998
O 0.250 0.750 0.000
O 0.750 0.250 0.000
Pm 0.250 0.750 0.500
Pm 0.750 0.250 0.500

***

No. 4
Computed, not measured: a relaxed AgPtNO crystal at the PBE level of DFT.

Its space group is No. 26. The volume comes out at 14.4 Å³ per atom. Its energy above the most stable polymorph in this dataset is 18 meV per atom.

Cell lengths 3.611, 5.497, 5.796 Å; angles 90.00, 90.00, 90.00 degrees
Positions (direct):
Ag 0.000 0.365 0.958
Ag 0.000 0.635 0.458
O 0.500 0.185 0.169
O 0.500 0.815 0.669
Pt 0.500 0.173 0.521
Pt 0.500 0.827 0.021
N 0.000 0.259 0.597
N 0.000 0.741 0.097

***

No. 5
Computed, not measured: a relaxed AgPtNO crystal at the PBE level of DFT.

Its space group is No. 26. The volume comes out at 14.0 Å³ per atom. Its energy above the most stable polymorph in this dataset is 45 meV per atom.

Cell lengths 3.285, 5.909, 5.774 Å; angles 90.00, 90.00, 90.00 degrees
Positions (direct):
Pt 0.000 0.994 0.579
Pt 0.000 0.494 0.421
N 0.000 0.805 0.311
N 0.000 0.305 0.689
O 0.500 0.924 0.813
O 0.500 0.424 0.187
Ag 0.500 0.531 0.825
Ag 0.500 0.031 0.175

***

No. 6
Computed, not measured: a relaxed AgPtNO crystal at the PBE level of DFT.

Its space group is No. 29. The volume comes out at 14.1 Å³ per atom. Its energy above the most stable polymorph in this dataset is 0 meV per atom.

Cell lengths 5.585, 6.020, 6.689 Å; angles 90.00, 90.00, 90.00 degrees
Positions (direct):
Pt 0.994 0.559 0.933
Pt 0.494 0.441 0.067
Pt 0.994 0.059 0.067
Pt 0.494 0.941 0.933
Ag 0.487 0.404 0.651
Ag 0.987 0.596 0.349
Ag 0.987 0.096 0.651
Ag 0.487 0.904 0.349
N 0.152 0.364 0.132
N 0.652 0.136 0.132
N 0.652 0.636 0.868
N 0.152 0.864 0.868
O 0.069 0.458 0.643
O 0.569 0.542 0.357
O 0.069 0.958 0.357
O 0.569 0.042 0.643